1.
Crystalline OsSe2BrF at its relaxed geometry, computed with GGA-PBE.

It has space group P4/mmm (No. 123), with a = 4.286 Å, b = 4.286 Å, c = 5.248 Å, α = 90.00°, β = 90.00° and γ = 90.00°. The inequivalent atoms are Os at (0.000, 0.000, 0.000), Se at (0.000, 0.500, 0.500), Br at (0.500, 0.500, 0.000) and F at (0.500, 0.500, 0.500).

The energy relative to the lowest polymorph listed for this composition comes out at 1256 meV per atom. The value obtained for the total energy is -3.0531 eV/atom. For the density of states at the Fermi level, the calculation gives 5.59 states/eV per cell. For the magnetic moment, the calculation gives 0.0 Bohr magnetons per cell. The value obtained for the uncorrected formation energy is 1.296 eV per atom.

=====

2.
Crystalline OsSe2BrF at its relaxed geometry, computed with GGA-PBE.

It has space group P4/mmm (No. 123), with a = 4.893 Å, b = 4.893 Å, c = 4.182 Å, α = 90.00°, β = 90.00° and γ = 90.00°. The inequivalent atoms are Os at (0.000, 0.000, 0.000), Se at (0.000, 0.500, 0.000), Br at (0.500, 0.500, 0.500) and F at (0.000, 0.000, 0.500).

The energy relative to the lowest polymorph listed for this composition comes out at 0 meV per atom. The value obtained for the total energy is -4.3087 eV/atom. For the density of states at the Fermi level, the calculation gives 4.70 states/eV per cell. For the magnetic moment, the calculation gives 0.0 Bohr magnetons per cell. The value obtained for the uncorrected formation energy is 0.040 eV per atom.

=====

Question: What is the formula in the second record?
Answer: OsSe2BrF